Record 1
## ZrHg4As (GGA-PBE)

Data for ZrHg4As after structural relaxation.

Values from the calculation:
VASP energy: -12.135 eV for the cell shown
Space group: No. 216
N(E_F): 5.04 states/eV per cell

POSCAR file:
```
ZrHg4As
1.0
0.0000 4.1169 4.1169
4.1169 0.0000 4.1169
4.1169 4.1169 0.0000
As Hg Zr
1 4 1
Direct
0.0000 0.0000 0.0000
0.3750 0.3750 0.3750
0.3750 0.8750 0.3750
0.8750 0.3750 0.3750
0.3750 0.3750 0.8750
0.7500 0.7500 0.7500
```


Record 2
## CaMnBi2 (GGA-PBE)

Data for CaMnBi2 after structural relaxation.

Values from the calculation:
VASP energy: -19.070 eV for the cell shown
Space group: No. 225
N(E_F): 2.70 states/eV per cell

POSCAR file:
```
CaMnBi2
1.0
0.0000 3.7820 3.7820
3.7820 0.0000 3.7820
3.7820 3.7820 0.0000
Bi Ca Mn
2 1 1
Direct
0.7500 0.7500 0.7500
0.2500 0.2500 0.2500
0.0000 0.0000 0.0000
0.5000 0.5000 0.5000
```


Record 3
## ZnAg2As2 (GGA-PBE)

Data for ZnAg2As2 after structural relaxation.

Values from the calculation:
VASP energy: -30.772 eV for the cell shown
Space group: No. 127
N(E_F): 2.11 states/eV per cell

POSCAR file:
```
ZnAg2As2
1.0
-3.4260 -5.0079 2.8715
1.7205 -4.0732 -5.0509
3.5794 -1.1964 2.1841
Zn Ag As
2 4 4
Direct
0.5000 0.5000 0.0000
0.0000 0.0000 0.0000
0.8332 0.3332 0.5000
0.1668 0.6668 0.5000
0.6668 0.8332 0.5000
0.3332 0.1668 0.5000
0.1421 0.3579 0.0000
0.3579 0.8579 0.0000
0.8579 0.6421 0.0000
0.6421 0.1421 0.0000
```


Record 4
## CoBSb2Te (GGA-PBE)

Data for CoBSb2Te after structural relaxation.

Values from the calculation:
VASP energy: -19.380 eV for the cell shown
Space group: No. 123
Formation energy from raw total energies: 1158 meV per atom
N(E_F): 5.40 states/eV per cell

POSCAR file:
```
CoBSb2Te
1.0
4.7584 0.0000 0.0000
0.0000 4.7584 0.0000
0.0000 0.0000 5.4413
Co Te Sb B
1 1 2 1
Direct
0.0000 0.0000 0.0000
0.0000 0.0000 0.5000
0.5000 0.0000 0.0000
0.0000 0.5000 0.0000
0.5000 0.5000 0.5000
```


Record 5
## CeBAs2 (GGA-PBE)

Data for CeBAs2 after structural relaxation.

Values from the calculation:
VASP energy: -22.294 eV for the cell shown
Space group: No. 2
N(E_F): 4.96 states/eV per cell

POSCAR file:
```
CeBAs2
1.0
-0.0780 2.1408 -2.5289
-4.6821 -1.5277 -1.1446
0.8241 2.9637 4.6617
As Ce B
2 1 1
Direct
0.1553 0.1908 0.3120
0.8447 0.8273 0.6880
0.5000 0.5089 0.9999
0.5000 0.0089 0.0001
```


Record 6
## LiCa2Tl (GGA-PBE)

Data for LiCa2Tl after structural relaxation.

Values from the calculation:
VASP energy: -8.706 eV for the cell shown
Space group: No. 12
N(E_F): 2.83 states/eV per cell

POSCAR file:
```
LiCa2Tl
1.0
-2.4705 0.9781 -4.9573
-2.0064 -2.6651 -4.5284
-6.3107 -0.5879 1.8357
Ca Tl Li
2 1 1
Direct
0.5072 0.5072 0.4874
0.9928 0.9928 0.0126
0.2500 0.2500 0.2500
0.7500 0.7500 0.7500
```


Record 7
## Sm2HoTm3Se6 (GGA-PBE)

Data for Sm2HoTm3Se6 after structural relaxation.

Values from the calculation:
VASP energy: -69.044 eV for the cell shown
Space group: No. 12
Formation energy from raw total energies: -1726 meV per atom
N(E_F): 5.25 states/eV per cell

POSCAR file:
```
Sm2HoTm3Se6
1.0
-2.8329 -0.4639 -2.8492
2.6287 -7.6727 -1.3645
-4.8053 -0.6413 7.7531
Ho Se Sm Tm
1 6 2 3
Direct
0.5000 0.0000 0.0000
0.0037 0.7494 0.0075
0.3338 0.9269 0.6677
0.6662 0.0731 0.3323
0.6625 0.5917 0.3250
0.3375 0.4083 0.6750
0.9963 0.2506 0.9925
0.1684 0.3361 0.3368
0.8316 0.6639 0.6632
0.5000 0.5000 0.0000
0.8306 0.1665 0.6612
0.1694 0.8335 0.3388
```


Record 8
## Nd2HfN2O2 (GGA-PBE)

Data for Nd2HfN2O2 after structural relaxation.

Values from the calculation:
VASP energy: -62.026 eV for the cell shown
Space group: No. 139
Formation energy from raw total energies: -2281 meV per atom

POSCAR file:
```
Nd2HfN2O2
1.0
4.2185 0.0000 0.0000
0.0000 4.2185 0.0000
-2.1093 -2.1093 6.0219
N Nd O Hf
2 2 2 1
Direct
0.5000 0.0000 0.0000
0.0000 0.5000 0.0000
0.3664 0.3664 0.7329
0.6336 0.6336 0.2671
0.1790 0.1790 0.3581
0.8210 0.8210 0.6419
0.0000 0.0000 0.0000
```


Record 9
## Pu3MgFe (GGA-PBE)

Data for Pu3MgFe after structural relaxation.

Values from the calculation:
VASP energy: -51.995 eV for the cell shown
Space group: No. 221
N(E_F): 21.92 states/eV per cell

POSCAR file:
```
Pu3MgFe
1.0
5.0729 0.0000 0.0000
0.0000 5.0729 0.0000
0.0000 0.0000 5.0729
Pu Mg Fe
3 1 1
Direct
0.0000 0.5000 0.0000
0.5000 0.0000 0.0000
0.0000 0.0000 0.5000
0.5000 0.5000 0.5000
0.0000 0.0000 0.0000
```


Record 10
## Ce2PuZn2 (GGA-PBE)

Data for Ce2PuZn2 after structural relaxation.

Values from the calculation:
VASP energy: -28.703 eV for the cell shown
Space group: No. 12
N(E_F): 8.25 states/eV per cell

POSCAR file:
```
Ce2PuZn2
1.0
-2.5158 2.5399 -2.3576
-1.3701 -0.8357 3.9703
-0.4152 7.3770 3.9978
Ce Zn Pu
2 2 1
Direct
0.2641 0.7635 0.2369
0.7359 0.2365 0.7631
0.6676 0.8319 0.5002
0.3324 0.1681 0.4998
0.0000 0.5000 0.0000
```